No. 1
Co2H2Au, optimized geometry, DFT PBE; volume = 45 Å³/f.u.; raw total energy = -23.519 eV per formula unit
1.0
-1.443 1.443 5.422
1.443 -1.443 5.422
1.443 1.443 -5.422
Co H Au
2 2 1
Cartesian
0.000 0.000 1.830
0.000 0.000 9.013
1.443 0.000 2.711
0.000 1.443 2.711
0.000 0.000 5.422

=====

No. 2
Co2HAu2, optimized geometry, DFT PBE; volume = 67 Å³/f.u.; raw total energy = -21.483 eV per formula unit; energy relative to the lowest polymorph listed for this composition = 153 meV per atom
1.0
5.495 0.000 0.000
0.000 5.495 0.000
0.000 0.000 4.464
Co H Au
4 2 4
Cartesian
0.793 1.955 0.000
1.955 4.702 0.000
3.541 0.793 0.000
4.702 3.541 0.000
0.000 0.000 2.232
2.748 2.748 2.232
0.969 3.716 2.232
1.779 0.969 2.232
3.716 4.527 2.232
4.527 1.779 2.232

=====

No. 3
CoHAu, optimized geometry, DFT PBE; volume = 32 Å³/f.u.; raw total energy = -13.124 eV per formula unit; energy relative to the lowest polymorph listed for this composition = 70 meV per atom
1.0
2.862 0.000 0.000
-1.431 2.479 0.000
0.000 0.000 4.520
Co H Au
1 1 1
Cartesian
0.000 0.000 0.000
1.431 0.826 0.046
0.000 1.653 2.269

=====

No. 4
CoHAu2, optimized geometry, DFT PBE; volume = 53 Å³/f.u.; raw total energy = -15.146 eV per formula unit; energy relative to the lowest polymorph listed for this composition = 0 meV per atom
1.0
-3.124 3.124 2.691
3.124 -3.124 2.691
3.124 3.124 -2.691
Co H Au
2 2 4
Cartesian
0.000 0.000 0.000
0.000 3.124 1.346
3.124 0.000 1.346
0.000 0.000 2.691
1.562 -1.019 2.018
2.104 1.562 0.673
1.562 4.143 -0.673
1.019 1.562 3.364

=====

No. 5
CoHAu2, optimized geometry, DFT PBE; volume = 55 Å³/f.u.; raw total energy = -14.059 eV per formula unit; energy relative to the lowest polymorph listed for this composition = 272 meV per atom
1.0
0.000 3.015 3.015
3.015 0.000 3.015
3.015 3.015 0.000
Co H Au
1 1 2
Cartesian
0.000 0.000 0.000
3.015 3.015 3.015
1.507 1.507 1.507
4.522 4.522 4.522

=====

No. 6
Co2HAu2, optimized geometry, DFT PBE; volume = 64 Å³/f.u.; raw total energy = -22.245 eV per formula unit; energy relative to the lowest polymorph listed for this composition = 0 meV per atom
1.0
5.246 0.000 0.000
0.000 5.246 0.000
0.000 0.000 4.671
Co H Au
4 2 4
Cartesian
0.864 1.759 0.000
1.759 4.382 0.000
3.487 0.864 0.000
4.382 3.487 0.000
0.000 0.000 0.000
2.623 2.623 0.000
0.944 3.567 2.335
1.679 0.944 2.335
3.567 4.303 2.335
4.303 1.679 2.335